PBE La2Mg4IrPd, relaxed; DFT total energy = -34.2 eV/f.u.; size of the total moment = 0.0008 μB/atom
1.0
8.402 0.000 0.000
0.000 2.129 5.218
0.000 -2.129 5.218
La Mg Ir Pd
2 4 1 1
Direct
0.000 0.000 0.000
0.500 0.125 0.125
0.199 0.715 0.715
0.308 0.405 0.405
0.692 0.405 0.405
0.801 0.715 0.715
0.500 0.833 0.833
0.000 0.285 0.285

***

PBE La3Mg3Ir2Pd, relaxed; DFT total energy = -48.3 eV/f.u.; size of the total moment = 0.0000 μB/atom
1.0
7.590 0.000 0.000
-3.795 6.573 0.000
0.000 0.000 4.148
La Mg Ir Pd
3 3 2 1
Direct
0.000 0.579 0.000
0.421 0.421 0.000
0.579 0.000 0.000
0.000 0.240 0.500
0.240 0.000 0.500
0.760 0.760 0.500
0.333 0.667 0.500
0.667 0.333 0.500
0.000 0.000 0.000